Record 1
TcAs2F after structural relaxation, computed with PBEsol.

```
8
Lattice="-2.7336 2.7336 5.3947 2.7336 -2.7336 5.3947 2.7336 2.7336 -5.3947" Properties=species:S:1:pos:R:3 pbc="T T T"
Tc 0.0000 0.0000 0.0000
Tc 0.0000 2.7336 2.6973
As 4.1003 1.2955 -1.3487
As 1.2955 1.3668 1.3487
As -1.3668 1.4380 4.0460
As 1.4380 1.3668 6.7434
F 2.7336 0.0000 2.6973
F 0.0000 0.0000 5.3947
```

## Properties
The calculation puts the offset from the most stable computed form at 101 meV per atom. The value obtained for the formation energy from raw total energies is -0.064 eV per atom.


Record 2
CdCu6O8 after structural relaxation, computed with PBEsol.

```
15
Lattice="0.0000 4.5605 4.5605 4.5605 0.0000 4.5605 4.5605 4.5605 0.0000" Properties=species:S:1:pos:R:3 pbc="T T T"
Cd 0.0000 0.0000 0.0000
Cu 2.2802 2.2802 0.0000
Cu 2.2802 0.0000 2.2802
Cu 4.5605 2.2802 2.2802
Cu 0.0000 2.2802 2.2802
Cu 2.2802 4.5605 2.2802
Cu 2.2802 2.2802 4.5605
O 1.3265 1.3265 1.3265
O 3.2339 3.2339 1.3265
O 3.2339 1.3265 3.2339
O 7.7944 5.8870 5.8870
O 1.3265 3.2339 3.2339
O 5.8870 7.7944 5.8870
O 5.8870 5.8870 7.7944
O 7.7944 7.7944 7.7944
```

## Properties
The value obtained for the formation energy from raw total energies is -0.612 eV per atom.


Record 3
RbZn3P after structural relaxation, computed with PBEsol.

```
5
Lattice="6.1542 0.0000 0.0000 0.0000 6.1542 0.0000 0.0000 0.0000 6.1542" Properties=species:S:1:pos:R:3 pbc="T T T"
Rb 0.0000 0.0000 0.0000
Zn 0.0000 0.0000 3.0771
Zn 0.0000 3.0771 0.0000
Zn 3.0771 0.0000 0.0000
P 3.0771 3.0771 3.0771
```

## Properties
The calculation puts the offset from the most stable computed form at 1177 meV per atom. The calculated formation energy is 1517.9 meV per atom.


Record 4
Te2Cl after structural relaxation, computed with PBEsol.

```
6
Lattice="6.4217 -2.4542 0.0000 6.4217 2.4542 0.0000 -1.8870 0.0000 5.6472" Properties=species:S:1:pos:R:3 pbc="T T T"
Te 1.0089 0.0000 1.6496
Te 2.0573 0.0000 4.3847
Te 8.8991 0.0000 1.2625
Te 9.9474 0.0000 3.9975
Cl 5.0260 0.0000 1.1805
Cl 5.9303 0.0000 4.4666
```

## Properties
The calculation puts the offset from the most stable computed form at 0 meV per atom. The value obtained for the formation energy from raw total energies is -0.159 eV per atom.


Record 5
CdMo2Se after structural relaxation, computed with PBEsol.

```
4
Lattice="3.1787 0.0000 0.0000 0.0000 3.1787 0.0000 0.0000 0.0000 7.0245" Properties=species:S:1:pos:R:3 pbc="T T T"
Cd 0.0000 0.0000 0.0000
Mo 0.0000 0.0000 3.3158
Mo 1.5894 1.5894 1.8461
Se 1.5894 1.5894 4.6304
```

## Properties
The calculation puts the offset from the most stable computed form at 0 meV per atom. The value obtained for the formation energy from raw total energies is 0.132 eV per atom.


Record 6
YGaS3 after structural relaxation, computed with PBEsol.

```
5
Lattice="4.6291 0.0000 0.0000 0.0000 4.6291 0.0000 0.0000 0.0000 4.6291" Properties=species:S:1:pos:R:3 pbc="T T T"
Y 0.0000 0.0000 0.0000
Ga 2.3145 2.3145 2.3145
S 0.0000 2.3145 2.3145
S 2.3145 0.0000 2.3145
S 2.3145 2.3145 0.0000
```

## Properties
The calculation puts the offset from the most stable computed form at 0 meV per atom. The value obtained for the formation energy from raw total energies is -0.823 eV per atom.